i:
MnGaClF: optimized geometry, PBE with a Hubbard U.

```
MnGaClF
1.0
-0.076 3.124 0.897
-2.404 2.164 -1.841
-6.420 -1.236 4.261
F Mn Ga Cl
1 1 1 1
Direct
0.658 0.771 0.758
0.523 0.017 0.173
0.191 0.694 0.921
0.863 0.321 0.360
```

For the size of the total moment, the calculation gives 1.181 μB/atom. As for the calculated volume: 83.5 Å³/f.u.

ii:
MnGaClF: optimized geometry, PBE with a Hubbard U.

```
MnGaClF
1.0
-2.147 5.103 0.694
-0.467 -0.692 3.642
11.213 -2.755 0.914
Cl F Ga Mn
2 2 2 2
Direct
0.014 0.000 0.970
0.014 0.500 0.470
0.853 0.500 0.156
0.853 0.000 0.656
0.247 0.500 0.332
0.247 0.000 0.832
0.674 0.500 0.944
0.674 0.000 0.444
```

For the size of the total moment, the calculation gives 1.207 μB/atom. As for the calculated volume: 98.3 Å³/f.u.

iii:
MnGaClF: optimized geometry, PBE with a Hubbard U.

```
MnGaClF
1.0
5.452 0.000 -0.012
0.000 3.404 0.000
-1.627 0.000 8.564
Cl F Mn Ga
2 2 2 2
Direct
0.942 0.000 0.700
0.942 0.500 0.200
0.480 0.500 0.754
0.480 0.000 0.254
0.822 0.500 0.900
0.822 0.000 0.400
0.368 0.000 0.017
0.368 0.500 0.517
```

For the size of the total moment, the calculation gives 1.139 μB/atom. As for the calculated volume: 79.4 Å³/f.u.

Which of them is least stable? Easy: iii.

i:
MnGaClF: optimized geometry, PBE with a Hubbard U.

```
MnGaClF
1.0
-2.073 7.288 2.380
-2.647 -0.139 -1.880
-3.131 -3.335 4.654
Mn Ga F Cl
2 2 2 2
Direct
0.174 0.000 0.944
0.174 0.500 0.444
0.918 0.500 0.695
0.918 0.000 0.195
0.756 0.000 0.666
0.756 0.500 0.166
0.364 0.500 0.790
0.364 0.000 0.290
```

For the size of the total moment, the calculation gives 1.215 μB/atom. As for the calculated volume: 83.5 Å³/f.u.

ii:
MnGaClF: optimized geometry, PBE with a Hubbard U.

```
MnGaClF
1.0
-1.663 2.644 -1.638
-3.323 -0.696 2.250
3.701 7.069 7.652
Mn F Cl Ga
2 2 2 2
Direct
0.500 0.500 0.433
0.000 0.000 0.933
0.000 0.000 0.121
0.500 0.500 0.621
0.000 0.000 0.458
0.500 0.500 0.958
0.500 0.000 0.725
0.000 0.500 0.225
```

For the size of the total moment, the calculation gives 1.236 μB/atom. As for the calculated volume: 79.4 Å³/f.u.

Which of them is least stable? Easy: i.